Material: Pm3Pb2I2
Method: DFT, PBE
State: optimized geometry

Structure (extended XYZ):
```
7
Lattice="3.871 0.000 0.000 0.000 8.135 0.309 -1.936 -1.770 7.392" Properties=species:S:1:pos:R:3 pbc="T T T"
Pm 0.000 0.000 0.000
Pm 0.000 4.817 4.258
Pm 1.936 1.548 3.443
Pb 0.000 3.038 1.334
Pb 1.936 3.327 6.367
I 0.000 -0.365 5.306
I 1.936 6.730 2.395
```

Output
Total moment in μB per formula unit: 0.00
E in eV/atom: -4.13
E_form (uncorrected) in meV/atom: -593.1
N(E_F) in states/eV/atom: 0.64
Space group: C2/m, No. 12

***

Material: Pm3PbI
Method: DFT, PBE
State: optimized geometry

Structure (extended XYZ):
```
20
Lattice="6.477 0.000 0.000 0.000 9.221 -1.146 0.000 -4.649 11.265" Properties=species:S:1:pos:R:3 pbc="T T T"
Pm 0.657 3.579 7.180
Pm 5.820 0.993 2.939
Pm 3.895 3.279 7.998
Pm 2.582 1.293 2.121
Pm 4.140 3.817 4.529
Pm 2.337 0.755 5.590
Pm 0.901 7.690 -0.616
Pm 5.576 -3.119 10.735
Pm 1.362 4.522 0.867
Pm 5.115 0.050 9.251
Pm 4.601 6.985 3.046
Pm 1.876 -2.414 7.073
Pb 5.151 -2.941 7.497
Pb 1.326 7.513 2.622
Pb 1.912 0.578 8.828
Pb 4.565 3.994 1.291
I 1.036 3.522 3.999
I 5.441 1.050 6.120
I 4.274 7.985 -0.086
I 2.203 -3.414 10.205
```

Output
Total moment in μB per formula unit: 0.00
E in eV/atom: -4.39
E_form (uncorrected) in meV/atom: -489.9
N(E_F) in states/eV/atom: 0.99
Space group: P2_1/c, No. 14

***

Look up the total moment of the first one.
0.00 μB per formula unit